Ac6Te2Pt3Br, relaxed, DFT PBE-GGA; calculated density = 9.09 g/cm³; raw formation energy = -1.3661 eV/atom; SG = C2/m; volume = 34.733 Å³ per atom
1.0
4.445 0.000 0.000
0.000 9.605 -0.185
-2.223 -3.314 9.826
Pt Te Ac Br
3 2 6 1
Cartesian
2.223 -0.620 6.525
2.223 4.803 -0.093
0.000 6.912 3.115
0.000 2.073 3.166
2.223 4.218 6.474
0.000 1.524 6.643
0.000 6.867 6.166
2.223 -0.576 3.474
2.223 4.767 2.997
2.223 -0.582 9.597
0.000 6.874 0.044
2.223 0.000 0.000